# 1
Entry from Alexandria: an optimized crystal structure of NaYMnWO6 (PBE with a Hubbard U).

Results
symmetry: P2_1
calculated total energy: -7.616 eV/atom
size of the total moment: 5.00 μB/f.u.
DOS at the Fermi energy: 0.00 states/eV/cell

Unit cell a=5.674 b=5.477 c=8.000 alpha=89.91 beta=90.00 gamma=90.00
Each line ends with the local moment (μB).
Fractional positions:
W 0.731 0.763 0.245  0.12
Na 0.761 0.253 0.999  0.00
O 0.565 0.064 0.226  0.01
O 0.036 0.910 0.217  0.01
Mn 0.721 0.752 0.759  4.61
O 0.921 0.470 0.320  0.02
O 0.690 0.671 0.021  0.00
O 0.273 0.135 0.506  0.02
Mn 0.221 0.248 0.241  4.61
O 0.773 0.865 0.494  0.02
O 0.065 0.936 0.774  0.01
O 0.536 0.090 0.783  0.01
Y 0.664 0.266 0.498  0.00
Y 0.164 0.734 0.502  0.00
W 0.231 0.237 0.755  0.12
O 0.454 0.569 0.323  0.01
O 0.190 0.329 0.979  0.00
O 0.421 0.530 0.680  0.02
O 0.954 0.431 0.677  0.01
Na 0.261 0.747 0.001  0.00



# 2
Entry from Alexandria: an optimized crystal structure of Na3Y2MnO6 (PBE with a Hubbard U).

Results
symmetry: C2/m
calculated total energy: -6.865 eV/atom
size of the total moment: 4.00 μB/f.u.

Unit cell a=5.771 b=5.771 c=5.847 alpha=98.93 beta=98.93 gamma=120.73
Each line ends with the local moment (μB).
Fractional positions:
Na 0.500 0.500 0.500  0.00
O 0.605 0.928 0.782  0.01
O 0.072 0.395 0.218  0.01
Y 0.670 0.330 0.000  0.00
Mn 0.000 0.000 0.000  3.94
Na 0.840 0.160 0.500  0.00
O 0.395 0.072 0.218  0.01
Na 0.160 0.840 0.500  0.00
Y 0.330 0.670 0.000  0.00
O 0.232 0.232 0.807  -0.05
O 0.768 0.768 0.193  -0.05
O 0.928 0.605 0.782  0.01



# 3
Entry from Alexandria: an optimized crystal structure of Na3MnZn2O6 (PBE with a Hubbard U).

Results
symmetry: C2/m
calculated total energy: -5.041 eV/atom
size of the total moment: 4.03 μB/f.u.
DOS at the Fermi energy: 8.53 states/eV/cell

Unit cell a=5.298 b=5.298 c=5.682 alpha=99.26 beta=99.26 gamma=119.62
Each line ends with the local moment (μB).
Fractional positions:
O 0.935 0.625 0.797  0.09
Mn 0.000 0.000 0.000  3.17
Zn 0.333 0.667 0.000  0.07
Na 0.830 0.170 0.500  0.00
Na 0.170 0.830 0.500  0.00
Na 0.500 0.500 0.500  0.00
O 0.757 0.757 0.198  0.09
O 0.375 0.065 0.203  0.09
O 0.065 0.375 0.203  0.09
Zn 0.667 0.333 0.000  0.07
O 0.243 0.243 0.802  0.09
O 0.625 0.935 0.797  0.09